[1]
{"formula": "Cs5Na", "functional": "PBE", "state": "optimized geometry", "lattice_angstrom": [[18.243, 0.000, 0.000], [0.000, 5.521, 0.000], [-4.674, 0.000, 11.980]], "species": ["Cs", "Cs", "Cs", "Cs", "Cs", "Cs", "Cs", "Cs", "Cs", "Cs", "Na", "Na"], "frac_coords": [[0.000, 0.000, 0.000], [0.136, 0.500, 0.365], [0.170, 0.500, 0.795], [0.330, 0.000, 0.205], [0.364, 0.000, 0.635], [0.500, 0.500, 0.000], [0.636, 0.000, 0.365], [0.670, 0.000, 0.795], [0.830, 0.500, 0.205], [0.864, 0.500, 0.635], [0.000, 0.000, 0.500], [0.500, 0.500, 0.500]], "magnetic_moment_mub_per_fu": 0.00, "formation_enthalpy_0k_ev_per_atom": 0.02, "final_energy_ev_per_atom": -0.913, "polymorph_energy_mev_per_atom": 0}

=====

[2]
{"formula": "Pr3B2IrRh9", "functional": "PBE", "state": "optimized geometry", "lattice_angstrom": [[5.951, 0.000, 0.000], [-2.975, 5.153, 0.000], [0.000, 0.000, 8.454]], "species": ["Pr", "Pr", "Pr", "B", "B", "Ir", "Rh", "Rh", "Rh", "Rh", "Rh", "Rh", "Rh", "Rh", "Rh"], "frac_coords": [[0.000, 0.000, 0.000], [0.333, 0.667, 0.641], [0.667, 0.333, 0.359], [0.333, 0.667, 0.140], [0.667, 0.333, 0.860], [0.000, 0.000, 0.500], [0.000, 0.500, 0.000], [0.171, 0.341, 0.287], [0.171, 0.829, 0.287], [0.341, 0.171, 0.713], [0.500, 0.000, 0.000], [0.500, 0.500, 0.000], [0.659, 0.829, 0.287], [0.829, 0.171, 0.713], [0.829, 0.659, 0.713]], "magnetic_moment_mub_per_fu": 0.00, "formation_enthalpy_0k_ev_per_atom": -0.42, "final_energy_ev_per_atom": -7.273}

=====

[3]
{"formula": "Th2PdPb", "functional": "PBE", "state": "optimized geometry", "lattice_angstrom": [[4.329, 0.000, 0.000], [-2.165, 3.749, 0.000], [0.000, 0.000, 22.375]], "species": ["Th", "Th", "Th", "Th", "Th", "Th", "Pd", "Pd", "Pd", "Pb", "Pb", "Pb"], "frac_coords": [[0.000, 0.000, 0.239], [0.000, 0.000, 0.761], [0.333, 0.667, 0.427], [0.333, 0.667, 0.906], [0.667, 0.333, 0.094], [0.667, 0.333, 0.573], [0.000, 0.000, 0.500], [0.333, 0.667, 0.167], [0.667, 0.333, 0.833], [0.000, 0.000, 0.000], [0.333, 0.667, 0.667], [0.667, 0.333, 0.333]], "magnetic_moment_mub_per_fu": 0.00, "formation_enthalpy_0k_ev_per_atom": -0.36, "final_energy_ev_per_atom": -6.298, "polymorph_energy_mev_per_atom": 102}

=====

[4]
{"formula": "Rb2SnI6F", "functional": "PBE", "state": "optimized geometry", "lattice_angstrom": [[-3.949, 3.949, 6.537], [3.949, -3.949, 6.537], [3.949, 3.949, -6.537]], "species": ["Rb", "Rb", "Sn", "I", "I", "I", "I", "I", "I", "F"], "frac_coords": [[0.250, 0.750, 0.500], [0.750, 0.250, 0.500], [0.000, 0.000, 0.000], [0.229, 0.229, 0.000], [0.258, 0.258, 0.517], [0.258, 0.742, 0.000], [0.742, 0.258, 0.000], [0.742, 0.742, 0.483], [0.771, 0.771, 0.000], [0.500, 0.500, 0.000]], "magnetic_moment_mub_per_fu": 0.00, "final_energy_ev_per_atom": -2.554, "e_form_raw_ev_per_atom": -0.8426}

=====

[5]
{"formula": "ZrFe3Pb", "functional": "PBE", "state": "optimized geometry", "lattice_angstrom": [[4.730, 0.000, 0.000], [0.000, 4.730, 0.000], [0.000, 0.000, 4.730]], "species": ["Zr", "Fe", "Fe", "Fe", "Pb"], "frac_coords": [[0.000, 0.000, 0.000], [0.000, 0.000, 0.500], [0.000, 0.500, 0.000], [0.500, 0.000, 0.000], [0.500, 0.500, 0.500]], "magnetic_moment_mub_per_fu": 6.35, "formation_enthalpy_0k_ev_per_atom": 1.33, "final_energy_ev_per_atom": -6.198, "polymorph_energy_mev_per_atom": 0}

=====

[6]
{"formula": "SmEr2Ag", "functional": "PBE", "state": "optimized geometry", "lattice_angstrom": [[3.594, 0.000, 0.000], [-1.797, 3.113, 0.000], [0.000, 0.000, 30.956]], "species": ["Sm", "Sm", "Sm", "Er", "Er", "Er", "Er", "Er", "Er", "Ag", "Ag", "Ag"], "frac_coords": [[0.000, 0.000, 0.000], [0.333, 0.667, 0.667], [0.667, 0.333, 0.333], [0.000, 0.000, 0.573], [0.000, 0.000, 0.760], [0.333, 0.667, 0.239], [0.333, 0.667, 0.427], [0.667, 0.333, 0.094], [0.667, 0.333, 0.906], [0.000, 0.000, 0.166], [0.333, 0.667, 0.833], [0.667, 0.333, 0.500]], "magnetic_moment_mub_per_fu": 0.00, "formation_enthalpy_0k_ev_per_atom": -0.01, "final_energy_ev_per_atom": -4.180, "polymorph_energy_mev_per_atom": 131}

=====

[7]
{"formula": "ZrB2IF", "functional": "PBE", "state": "optimized geometry", "lattice_angstrom": [[4.379, 0.000, 0.000], [0.000, 4.379, 0.000], [0.000, 0.000, 4.308]], "species": ["Zr", "B", "B", "I", "F"], "frac_coords": [[0.000, 0.000, 0.000], [0.000, 0.500, 0.500], [0.500, 0.000, 0.500], [0.500, 0.500, 0.500], [0.500, 0.500, 0.000]], "magnetic_moment_mub_per_fu": 0.00, "final_energy_ev_per_atom": -3.841, "e_form_raw_ev_per_atom": 1.2239}

=====

[8]
{"formula": "Sm2Ho7In", "functional": "PBE", "state": "optimized geometry", "lattice_angstrom": [[4.320, -8.220, 0.000], [4.320, 8.220, 0.000], [0.000, 0.000, 5.230]], "species": ["Sm", "Sm", "Ho", "Ho", "Ho", "Ho", "Ho", "Ho", "Ho", "In"], "frac_coords": [[0.207, 0.793, 0.000], [0.793, 0.207, 0.000], [0.000, 0.000, 0.000], [0.219, 0.427, 0.000], [0.302, 0.698, 0.500], [0.427, 0.219, 0.000], [0.573, 0.781, 0.000], [0.698, 0.302, 0.500], [0.781, 0.573, 0.000], [0.500, 0.500, 0.500]], "magnetic_moment_mub_per_fu": 0.00, "formation_enthalpy_0k_ev_per_atom": 0.59, "final_energy_ev_per_atom": -3.836}